A plane-wave DFT calculation with GGA-PBE was carried out for crystalline CsRb2Cu3As2 at its relaxed geometry.

a = 7.8158 Å, b = 7.8158 Å, c = 7.8158 Å
α = 45.94°, β = 45.94°, γ = 45.94°
Fractional positions:
Cs: 0.0000 0.0000 0.0000
Rb: 0.4110 0.4110 0.4110
Rb: 0.5890 0.5890 0.5890
Cu: 0.0000 0.0000 0.5000
Cu: 0.0000 0.5000 0.0000
Cu: 0.5000 0.0000 0.0000
As: 0.2421 0.2421 0.2421
As: 0.7579 0.7579 0.7579

Computed properties:
symmetry	R-3m
calculated volume	28.106	A^3/atom
calculated total energy	-3.198	eV/atom
mass density	4.8	g cm⁻³

***

A plane-wave DFT calculation with GGA-PBE was carried out for crystalline CsCu2AsS3 at its relaxed geometry.

a = 9.5359 Å, b = 10.4578 Å, c = 13.7017 Å
α = 90.00°, β = 90.00°, γ = 90.00°
Fractional positions:
Cs: 0.1827 0.1049 0.0593
Cs: 0.1827 0.3951 0.5593
Cs: 0.3173 0.6049 0.0593
Cs: 0.3173 0.8951 0.5593
Cs: 0.6827 0.1049 0.4407
Cs: 0.6827 0.3951 0.9407
Cs: 0.8173 0.6049 0.4407
Cs: 0.8173 0.8951 0.9407
Cu: 0.0757 0.1038 0.3602
Cu: 0.0757 0.3962 0.8602
Cu: 0.1153 0.0596 0.7739
Cu: 0.1153 0.4404 0.2739
Cu: 0.3847 0.5596 0.7739
Cu: 0.3847 0.9404 0.2739
Cu: 0.4243 0.6038 0.3602
Cu: 0.4243 0.8962 0.8602
Cu: 0.5757 0.1038 0.1398
Cu: 0.5757 0.3962 0.6398
Cu: 0.6153 0.0596 0.7261
Cu: 0.6153 0.4404 0.2261
Cu: 0.8847 0.5596 0.7261
Cu: 0.8847 0.9404 0.2261
Cu: 0.9243 0.6038 0.1398
Cu: 0.9243 0.8962 0.6398
As: 0.1630 0.6834 0.7854
As: 0.1630 0.8166 0.2854
As: 0.3370 0.1834 0.7854
As: 0.3370 0.3166 0.2854
As: 0.6630 0.6834 0.7146
As: 0.6630 0.8166 0.2146
As: 0.8370 0.1834 0.7146
As: 0.8370 0.3166 0.2146
S: 0.0133 0.0917 0.6218
S: 0.0133 0.4083 0.1218
S: 0.0374 0.7072 0.6438
S: 0.0374 0.7928 0.1438
S: 0.1878 0.6163 0.3532
S: 0.1878 0.8837 0.8532
S: 0.3122 0.1163 0.3532
S: 0.3122 0.3837 0.8532
S: 0.4626 0.2072 0.6438
S: 0.4626 0.2928 0.1438
S: 0.4867 0.5917 0.6218
S: 0.4867 0.9083 0.1218
S: 0.5133 0.0917 0.8782
S: 0.5133 0.4083 0.3782
S: 0.5374 0.7072 0.8562
S: 0.5374 0.7928 0.3562
S: 0.6878 0.6163 0.1468
S: 0.6878 0.8837 0.6468
S: 0.8122 0.1163 0.1468
S: 0.8122 0.3837 0.6468
S: 0.9626 0.2072 0.8562
S: 0.9626 0.2928 0.3562
S: 0.9867 0.5917 0.8782
S: 0.9867 0.9083 0.3782

Computed properties:
symmetry	Pbca
calculated volume	24.400	A^3/atom
calculated total energy	-4.111	eV/atom
mass density	4.2	g cm⁻³